1.
A relaxed Sr2AgSn crystal, computed with PBE.

abc: 3.8755 5.7346 5.7346
angles: 90.00 90.00 90.00
With the nearest neighbours (Å) after each atom.
Sites, in units of the cell vectors:
Sr 0.0000 0.0000 0.5000  4 Sn 3.46, 4 Ag 3.46, 2 Sr 3.88
Sr 0.0000 0.5000 0.0000  4 Sn 3.46, 4 Ag 3.46, 2 Sr 3.88
Ag 0.5000 0.5000 0.5000  8 Sr 3.46, 2 Ag 3.88
Sn 0.5000 0.0000 0.0000  8 Sr 3.46, 2 Sn 3.88

SG: P4/mmm (123)
VASP energy in eV/atom: -3.030
Mass density in g cm⁻³: 5.235
Size of the total moment in μB per atom: 0.00
ΔE_f in eV/atom: -0.48

=====

2.
A relaxed Fe5Ge crystal, computed with PBE.

abc: 3.0632 3.9420 6.2166
angles: 108.49 90.00 90.00
With the nearest neighbours (Å) after each atom.
Sites, in units of the cell vectors:
Ge 0.0000 0.0000 0.0000  12 Fe 2.50-2.78
Fe 0.5000 0.8320 0.6641  8 Fe 2.48-2.76, 2 Ge 2.50
Fe 0.0000 0.6664 0.3329  8 Fe 2.48-2.50
Fe 0.0000 0.3336 0.6671  8 Fe 2.48-2.50
Fe 0.5000 0.5000 0.0000  4 Fe 2.49, 4 Ge 2.50
Fe 0.5000 0.1680 0.3359  8 Fe 2.48-2.76, 2 Ge 2.50

SG: Cmmm (65)
VASP energy in eV/atom: -7.866
Energy above the most stable polymorph in this dataset in meV/atom: 34.0
Mass density in g cm⁻³: 8.207
Size of the total moment in μB per atom: 1.86
ΔE_f in eV/atom: -0.04

=====

3.
A relaxed Na2AlPbF8 crystal, computed with PBE.

abc: 5.0377 5.0684 6.7357
angles: 90.00 90.00 91.96
With the nearest neighbours (Å) after each atom.
Sites, in units of the cell vectors:
F 0.3123 0.3118 0.5000  1 Pb 2.19, 2 Na 2.29
F 0.6877 0.6882 0.5000  1 Pb 2.19, 2 Na 2.29
F 0.8225 0.1751 0.7951  1 Al 1.88
F 0.8225 0.1751 0.2049  1 Al 1.88
F 0.1775 0.8249 0.2049  1 Al 1.88
F 0.1775 0.8249 0.7951  1 Al 1.88
F 0.2535 0.2545 0.0000  1 Al 1.78
F 0.7465 0.7455 0.0000  1 Al 1.78
Na 0.5000 0.5000 0.2218  6 F 2.28-2.36
Na 0.5000 0.5000 0.7782  6 F 2.28-2.36
Al 0.0000 0.0000 0.0000  6 F 1.78-1.88
Pb 0.0000 0.0000 0.5000  6 F 2.19-2.36

SG: P2/m (10)
Uncorrected formation energy in kJ per mole of atoms: -268
VASP energy in eV/atom: -4.869
Mass density in g cm⁻³: 4.175
Size of the total moment in μB per atom: 0.00

=====

4.
A relaxed BaNi2Ir crystal, computed with PBE.

abc: 4.6659 4.6659 4.6659
angles: 60.00 60.00 60.00
With the nearest neighbours (Å) after each atom.
Sites, in units of the cell vectors:
Ni 0.2500 0.2500 0.2500  4 Ba 2.86, 4 Ir 2.86
Ni 0.7500 0.7500 0.7500  4 Ba 2.86, 4 Ir 2.86
Ba 0.0000 0.0000 0.0000  8 Ni 2.86
Ir 0.5000 0.5000 0.5000  8 Ni 2.86

SG: Fm-3m (225)
VASP energy in eV/atom: -4.908
Energy above the most stable polymorph in this dataset in meV/atom: 788.2
Mass density in g cm⁻³: 10.332
Size of the total moment in μB per atom: 0.25
ΔE_f in eV/atom: 0.68

=====

5.
A relaxed Al3W2 crystal, computed with PBE.

abc: 4.4498 4.4498 5.2997
angles: 90.00 90.00 120.00
With the nearest neighbours (Å) after each atom.
Sites, in units of the cell vectors:
W 0.3333 0.6667 0.9059  5 Al 2.60-2.70, 3 W 2.76
W 0.6667 0.3333 0.0941  5 Al 2.60-2.70, 3 W 2.76
Al 0.6667 0.3333 0.6036  2 W 2.60-2.70, 3 Al 2.79
Al 0.0000 0.0000 0.0000  6 W 2.62
Al 0.3333 0.6667 0.3964  2 W 2.60-2.70, 3 Al 2.79

SG: P-3m1 (164)
VASP energy in eV/atom: -7.343
Energy above the most stable polymorph in this dataset in meV/atom: 32.3
Mass density in g cm⁻³: 8.197
Size of the total moment in μB per atom: 0.00
ΔE_f in eV/atom: 0.08

=====

6.
A relaxed Pm3PbI2 crystal, computed with PBE.

abc: 6.2215 8.4314 8.4314
angles: 96.78 90.00 90.00
With the nearest neighbours (Å) after each atom.
Sites, in units of the cell vectors:
Pm 0.9930 0.8588 0.4872  4 I 3.12-3.26, 1 Pb 3.16
Pm 0.4930 0.5128 0.1412  4 I 3.12-3.26, 1 Pb 3.16
Pm 0.4931 0.8518 0.8518  3 Pb 3.11-3.20, 2 I 3.27
Pm 0.9931 0.1482 0.1482  3 Pb 3.11-3.20, 2 I 3.27
Pm 0.4930 0.1412 0.5128  4 I 3.12-3.26, 1 Pb 3.16
Pm 0.9930 0.4872 0.8588  4 I 3.12-3.26, 1 Pb 3.16
I 0.4930 0.7687 0.4630  5 Pm 3.12-3.27
I 0.9930 0.5370 0.2313  5 Pm 3.12-3.27
I 0.9930 0.2313 0.5370  5 Pm 3.12-3.27
I 0.4930 0.4630 0.7687  5 Pm 3.12-3.27
Pb 0.4931 0.1373 0.1373  5 Pm 3.11-3.20
Pb 0.9931 0.8627 0.8627  5 Pm 3.11-3.20

SG: Cmcm (63)
Uncorrected formation energy in kJ per mole of atoms: -52
VASP energy in eV/atom: -4.050
Mass density in g cm⁻³: 6.776
Size of the total moment in μB per atom: 0.16

=====

7.
A relaxed Nd5Pu3H12 crystal, computed with PBE.

abc: 11.6121 11.6121 11.6121
angles: 109.47 109.47 109.47
With the nearest neighbours (Å) after each atom.
Sites, in units of the cell vectors:
H 0.2681 0.4222 0.8410  1 H 2.25, 2 Nd 2.30-2.33, 2 Pu 2.35-2.38
H 0.9222 0.0811 0.6540  1 H 2.25, 2 Nd 2.30-2.33, 2 Pu 2.35-2.38
H 0.1590 0.0811 0.9271  1 H 2.25, 2 Nd 2.30-2.33, 2 Pu 2.35-2.38
H 0.5729 0.3410 0.9189  1 H 2.25, 2 Nd 2.30-2.33, 2 Pu 2.35-2.38
H 0.2319 0.6590 0.0778  1 H 2.25, 2 Nd 2.30-2.33, 2 Pu 2.35-2.38
H 0.0811 0.9222 0.1540  1 H 2.25, 2 Nd 2.30-2.33, 2 Pu 2.35-2.38
H 0.1540 0.4222 0.0811  1 H 2.25, 2 Nd 2.30-2.33, 2 Pu 2.35-2.38
H 0.9222 0.8410 0.7681  1 H 2.25, 2 Nd 2.30-2.33, 2 Pu 2.35-2.38
H 0.1590 0.0778 0.7319  1 H 2.25, 2 Nd 2.30-2.33, 2 Pu 2.35-2.38
H 0.5729 0.2319 0.1540  1 H 2.25, 2 Nd 2.30-2.33, 2 Pu 2.35-2.38
H 0.9189 0.0778 0.8460  1 H 2.25, 2 Nd 2.30-2.33, 2 Pu 2.35-2.38
H 0.3460 0.4189 0.0778  1 H 2.25, 2 Nd 2.30-2.33, 2 Pu 2.35-2.38
H 0.4271 0.7681 0.8460  1 H 2.25, 2 Nd 2.30-2.33, 2 Pu 2.35-2.38
H 0.6590 0.4271 0.5811  1 H 2.25, 2 Nd 2.30-2.33, 2 Pu 2.35-2.38
H 0.0729 0.4189 0.8410  1 H 2.25, 2 Nd 2.30-2.33, 2 Pu 2.35-2.38
H 0.8460 0.5778 0.9189  1 H 2.25, 2 Nd 2.30-2.33, 2 Pu 2.35-2.38
H 0.4222 0.1540 0.5811  1 H 2.25, 2 Nd 2.30-2.33, 2 Pu 2.35-2.38
H 0.3410 0.7681 0.4222  1 H 2.25, 2 Nd 2.30-2.33, 2 Pu 2.35-2.38
H 0.5811 0.6540 0.4222  1 H 2.25, 2 Nd 2.30-2.33, 2 Pu 2.35-2.38
H 0.0811 0.1590 0.4271  1 H 2.25, 2 Nd 2.30-2.33, 2 Pu 2.35-2.38
H 0.6590 0.2319 0.5778  1 H 2.25, 2 Nd 2.30-2.33, 2 Pu 2.35-2.38
H 0.7681 0.4271 0.3460  1 H 2.25, 2 Nd 2.30-2.33, 2 Pu 2.35-2.38
H 0.1540 0.7319 0.5729  1 H 2.25, 2 Nd 2.30-2.33, 2 Pu 2.35-2.38
H 0.7681 0.3410 0.9222  1 H 2.25, 2 Nd 2.30-2.33, 2 Pu 2.35-2.38
H 0.5778 0.8460 0.4189  1 H 2.25, 2 Nd 2.30-2.33, 2 Pu 2.35-2.38
H 0.4222 0.2681 0.3410  1 H 2.25, 2 Nd 2.30-2.33, 2 Pu 2.35-2.38
H 0.8410 0.9189 0.0729  1 H 2.25, 2 Nd 2.30-2.33, 2 Pu 2.35-2.38
H 0.6540 0.0729 0.2319  1 H 2.25, 2 Nd 2.30-2.33, 2 Pu 2.35-2.38
H 0.8460 0.2681 0.4271  1 H 2.25, 2 Nd 2.30-2.33, 2 Pu 2.35-2.38
H 0.4271 0.6590 0.0811  1 H 2.25, 2 Nd 2.30-2.33, 2 Pu 2.35-2.38
H 0.4189 0.0729 0.3410  1 H 2.25, 2 Nd 2.30-2.33, 2 Pu 2.35-2.38
H 0.9189 0.8410 0.5729  1 H 2.25, 2 Nd 2.30-2.33, 2 Pu 2.35-2.38
H 0.7319 0.1540 0.0729  1 H 2.25, 2 Nd 2.30-2.33, 2 Pu 2.35-2.38
H 0.8410 0.9222 0.2681  1 H 2.25, 2 Nd 2.30-2.33, 2 Pu 2.35-2.38
H 0.3460 0.9271 0.7681  1 H 2.25, 2 Nd 2.30-2.33, 2 Pu 2.35-2.38
H 0.6540 0.5811 0.9222  1 H 2.25, 2 Nd 2.30-2.33, 2 Pu 2.35-2.38
H 0.4189 0.3460 0.5778  1 H 2.25, 2 Nd 2.30-2.33, 2 Pu 2.35-2.38
H 0.0729 0.6540 0.7319  1 H 2.25, 2 Nd 2.30-2.33, 2 Pu 2.35-2.38
H 0.5811 0.9271 0.6590  1 H 2.25, 2 Nd 2.30-2.33, 2 Pu 2.35-2.38
H 0.3410 0.5729 0.4189  1 H 2.25, 2 Nd 2.30-2.33, 2 Pu 2.35-2.38
H 0.9271 0.5811 0.1590  1 H 2.25, 2 Nd 2.30-2.33, 2 Pu 2.35-2.38
H 0.2319 0.5729 0.6540  1 H 2.25, 2 Nd 2.30-2.33, 2 Pu 2.35-2.38
H 0.0778 0.1590 0.2319  1 H 2.25, 2 Nd 2.30-2.33, 2 Pu 2.35-2.38
H 0.5778 0.7319 0.6590  1 H 2.25, 2 Nd 2.30-2.33, 2 Pu 2.35-2.38
H 0.9271 0.3460 0.2681  1 H 2.25, 2 Nd 2.30-2.33, 2 Pu 2.35-2.38
H 0.0778 0.9189 0.3460  1 H 2.25, 2 Nd 2.30-2.33, 2 Pu 2.35-2.38
H 0.7319 0.5778 0.1590  1 H 2.25, 2 Nd 2.30-2.33, 2 Pu 2.35-2.38
H 0.2681 0.8460 0.9271  1 H 2.25, 2 Nd 2.30-2.33, 2 Pu 2.35-2.38
Nd 0.5000 0.0000 0.5000  6 H 2.33
Nd 0.6250 0.8750 0.2500  4 H 2.30
Nd 0.0000 0.0000 0.0000  6 H 2.33
Nd 0.5000 0.5000 0.5000  6 H 2.33
Nd 0.7500 0.6250 0.3750  4 H 2.30
Nd 0.6250 0.7500 0.8750  4 H 2.30
Nd 0.5000 0.0000 0.0000  6 H 2.33
Nd 0.0000 0.0000 0.5000  6 H 2.33
Nd 0.3750 0.2500 0.1250  4 H 2.30
Nd 0.1250 0.7500 0.3750  4 H 2.30
Nd 0.2500 0.3750 0.6250  4 H 2.30
Nd 0.2500 0.8750 0.1250  4 H 2.30
Nd 0.5000 0.5000 0.0000  6 H 2.33
Nd 0.3750 0.1250 0.7500  4 H 2.30
Nd 0.0000 0.5000 0.5000  6 H 2.33
Nd 0.7500 0.1250 0.8750  4 H 2.30
Nd 0.8750 0.6250 0.7500  4 H 2.30
Nd 0.0000 0.5000 0.0000  6 H 2.33
Nd 0.1250 0.3750 0.2500  4 H 2.30
Nd 0.8750 0.2500 0.6250  4 H 2.30
Pu 0.8750 0.7500 0.1250  8 H 2.35-2.38
Pu 0.8750 0.1250 0.2500  8 H 2.35-2.38
Pu 0.1250 0.2500 0.8750  8 H 2.35-2.38
Pu 0.2500 0.1250 0.3750  8 H 2.35-2.38
Pu 0.7500 0.3750 0.1250  8 H 2.35-2.38
Pu 0.2500 0.6250 0.8750  8 H 2.35-2.38
Pu 0.3750 0.7500 0.6250  8 H 2.35-2.38
Pu 0.6250 0.2500 0.3750  8 H 2.35-2.38
Pu 0.6250 0.3750 0.7500  8 H 2.35-2.38
Pu 0.1250 0.8750 0.7500  8 H 2.35-2.38
Pu 0.3750 0.6250 0.2500  8 H 2.35-2.38
Pu 0.7500 0.8750 0.6250  8 H 2.35-2.38

SG: Ia-3d (230)
VASP energy in eV/atom: -5.674
Mass density in g cm⁻³: 8.075
Size of the total moment in μB per atom: 0.93

=====

8.
A relaxed Sc2MoAu crystal, computed with PBE.

abc: 4.1898 4.1898 9.7499
angles: 77.59 77.59 90.00
With the nearest neighbours (Å) after each atom.
Sites, in units of the cell vectors:
Mo 0.5000 0.5000 0.0000  4 Sc 2.74, 4 Au 2.96
Mo 0.2500 0.7500 0.5000  4 Sc 2.74, 4 Au 2.96
Sc 0.1338 0.6250 0.2500  2 Mo 2.74, 2 Au 2.77, 4 Sc 2.91-3.02
Sc 0.3750 0.3838 0.7500  2 Mo 2.74, 2 Au 2.77, 4 Sc 2.91-3.02
Sc 0.8750 0.8662 0.7500  2 Mo 2.74, 2 Au 2.77, 4 Sc 2.91-3.02
Sc 0.6162 0.1250 0.2500  2 Mo 2.74, 2 Au 2.77, 4 Sc 2.91-3.02
Au 0.0000 0.0000 0.0000  4 Sc 2.77, 4 Mo 2.96
Au 0.7500 0.2500 0.5000  4 Sc 2.77, 4 Mo 2.96

SG: I-42d (122)
VASP energy in eV/atom: -6.347
Energy above the most stable polymorph in this dataset in meV/atom: 592.0
Mass density in g cm⁻³: 7.797
Size of the total moment in μB per atom: 0.00
ΔE_f in eV/atom: 0.35